{"formula": "TaMo3F", "functional": "PBE with a Hubbard U", "state": "relaxed", "total_magnetization_mub_per_fu": 10.42, "dft_energy_ev_per_atom": -5.13, "density_g_cm3": 5.89, "lattice_angstrom": [[5.162, 0.000, 0.000], [0.000, 5.162, 0.000], [0.000, 0.000, 5.162]], "species": ["Ta", "Mo", "Mo", "Mo", "F"], "frac_coords": [[0.000, 0.000, 0.000], [0.000, 0.000, 0.500], [0.000, 0.500, 0.000], [0.500, 0.000, 0.000], [0.500, 0.500, 0.500]]}